(1)
{"formula": "Pr2USi3Ir4", "functional": "PBE", "state": "optimized geometry", "cell": [[4.210, 0.000, 0.000], [0.000, 4.210, 0.000], [0.000, 0.000, 10.784]], "species": ["U", "Pr", "Pr", "Si", "Si", "Si", "Ir", "Ir", "Ir", "Ir"], "fractional_positions": [[0.500, 0.500, 0.500], [0.500, 0.000, 0.231], [0.000, 0.500, 0.769], [0.000, 0.500, 0.119], [0.000, 0.000, 0.500], [0.500, 0.000, 0.881], [0.500, 0.000, 0.653], [0.000, 0.500, 0.347], [0.000, 0.000, 0.000], [0.500, 0.500, 0.000]], "n_ef_per_ev_fu": 9.344, "raw_formation_energy_ev_per_atom": -0.848, "energy_ev_per_atom": -8.104}

***

(2)
{"formula": "MgAs2IrAu", "functional": "PBE", "state": "optimized geometry", "cell": [[4.885, 0.000, 0.000], [0.000, 4.885, 0.000], [0.000, 0.000, 5.120]], "species": ["As", "As", "Mg", "Au", "Ir"], "fractional_positions": [[0.500, 0.000, 0.000], [0.000, 0.500, 0.000], [0.500, 0.500, 0.500], [0.000, 0.000, 0.000], [0.000, 0.000, 0.500]], "n_ef_per_ev_fu": 2.620, "energy_ev_per_atom": -3.613, "delta_e_f_ev_per_atom": 0.994}

***

(3)
{"formula": "DyAgPt4", "functional": "PBE", "state": "optimized geometry", "cell": [[5.358, 0.000, 0.000], [2.679, 4.640, 0.000], [2.679, 1.547, 4.375]], "species": ["Ag", "Pt", "Pt", "Pt", "Pt", "Dy"], "fractional_positions": [[0.000, 0.000, 0.000], [0.625, 0.625, 0.625], [0.625, 0.124, 0.625], [0.124, 0.625, 0.625], [0.625, 0.625, 0.124], [0.250, 0.250, 0.250]], "n_ef_per_ev_fu": 8.179, "energy_ev_per_atom": -5.979, "delta_e_f_ev_per_atom": -0.710}

***

(4)
{"formula": "Ac2CuAs", "functional": "PBE", "state": "optimized geometry", "cell": [[4.426, 0.000, 0.000], [2.213, 3.833, 0.000], [2.213, 1.278, 7.614]], "species": ["Cu", "Ac", "Ac", "As"], "fractional_positions": [[0.500, 0.500, 0.500], [0.251, 0.251, 0.246], [0.749, 0.749, 0.754], [0.000, 0.000, 0.000]], "n_ef_per_ev_fu": 4.677, "energy_ev_per_atom": -4.901, "de_polymorph_ev_per_atom": 0.000, "delta_e_f_ev_per_atom": -0.660}

***

(5)
{"formula": "PrSmEr2Se4", "functional": "PBE", "state": "optimized geometry", "cell": [[-2.983, 1.577, -2.243], [4.145, -0.722, -6.020], [-1.236, -6.352, -2.823]], "species": ["Sm", "Pr", "Se", "Se", "Se", "Se", "Er", "Er"], "fractional_positions": [[0.000, 0.500, 0.500], [0.500, 0.500, 0.000], [0.000, 0.231, 0.260], [0.500, 0.766, 0.247], [0.500, 0.234, 0.753], [0.000, 0.769, 0.740], [0.000, 0.000, 0.000], [0.500, 0.000, 0.500]], "n_ef_per_ev_fu": 3.710, "raw_formation_energy_ev_per_atom": -1.768, "energy_ev_per_atom": -5.838}

***

(6)
{"formula": "Nd2GaCuSe5", "functional": "PBE", "state": "optimized geometry", "cell": [[-1.214, -3.118, 2.353], [7.475, 3.199, 4.539], [-6.848, 7.295, 6.135]], "species": ["Se", "Se", "Se", "Se", "Se", "Se", "Se", "Se", "Se", "Se", "Nd", "Nd", "Nd", "Nd", "Ga", "Ga", "Cu", "Cu"], "fractional_positions": [[0.692, 0.384, 0.821], [0.692, 0.385, 0.135], [0.043, 0.086, 0.058], [0.504, 0.008, 0.784], [0.361, 0.722, 0.988], [0.308, 0.616, 0.321], [0.496, 0.992, 0.284], [0.957, 0.914, 0.558], [0.308, 0.615, 0.635], [0.639, 0.278, 0.488], [0.125, 0.249, 0.294], [0.875, 0.751, 0.794], [0.890, 0.780, 0.173], [0.110, 0.220, 0.673], [0.409, 0.818, 0.462], [0.591, 0.182, 0.962], [0.743, 0.486, 0.610], [0.257, 0.514, 0.110]], "n_ef_per_ev_fu": 0.090, "raw_formation_energy_ev_per_atom": -1.216, "energy_ev_per_atom": -5.002}

***

(7)
{"formula": "KMn2I5", "functional": "PBE", "state": "optimized geometry", "cell": [[-3.339, -5.007, 1.544], [3.452, -1.171, -8.833], [11.823, -6.205, 5.443]], "species": ["I", "I", "I", "I", "I", "I", "I", "I", "I", "I", "Mn", "Mn", "Mn", "Mn", "K", "K"], "fractional_positions": [[0.928, 0.857, 0.103], [0.733, 0.465, 0.584], [0.308, 0.617, 0.750], [0.072, 0.143, 0.897], [0.267, 0.535, 0.084], [0.928, 0.857, 0.397], [0.267, 0.535, 0.416], [0.072, 0.143, 0.603], [0.692, 0.383, 0.250], [0.733, 0.465, 0.916], [0.785, 0.571, 0.407], [0.215, 0.429, 0.593], [0.785, 0.571, 0.093], [0.215, 0.429, 0.907], [0.085, 0.170, 0.250], [0.915, 0.830, 0.750]], "raw_formation_energy_ev_per_atom": -0.608, "energy_ev_per_atom": -4.006}

***

(8)
{"formula": "TaAgPbO4", "functional": "PBE", "state": "optimized geometry", "cell": [[-2.202, -2.521, -5.560], [5.846, 0.457, -2.523], [1.837, -5.429, 3.274]], "species": ["O", "O", "O", "O", "O", "O", "O", "O", "Ag", "Ag", "Ta", "Ta", "Pb", "Pb"], "fractional_positions": [[0.861, 0.011, 0.695], [0.139, 0.989, 0.305], [0.505, 0.750, 0.194], [0.553, 0.250, 0.354], [0.495, 0.250, 0.806], [0.447, 0.750, 0.646], [0.139, 0.511, 0.305], [0.861, 0.489, 0.695], [0.156, 0.250, 0.592], [0.844, 0.750, 0.408], [0.686, 0.250, 0.631], [0.314, 0.750, 0.369], [0.733, 0.750, 0.901], [0.267, 0.250, 0.099]], "n_ef_per_ev_fu": 0.000, "raw_formation_energy_ev_per_atom": -1.668, "energy_ev_per_atom": -7.132}

***

(9)
{"formula": "MgTaMn2W", "functional": "PBE", "state": "optimized geometry", "cell": [[-2.679, -2.535, -2.234], [3.513, -1.033, -3.039], [1.134, -3.360, 2.453]], "species": ["Ta", "Mn", "Mn", "Mg", "W"], "fractional_positions": [[0.500, 0.500, 0.500], [0.500, 0.000, 0.000], [0.000, 0.000, 0.500], [0.000, 0.000, 0.000], [0.000, 0.500, 0.000]], "n_ef_per_ev_fu": 5.967, "energy_ev_per_atom": -7.220, "de_polymorph_ev_per_atom": 0.250, "delta_e_f_ev_per_atom": 1.728}

***

(10)
{"formula": "NdHo2PaAs4", "functional": "PBE", "state": "optimized geometry", "cell": [[-0.618, -3.967, -1.024], [-0.144, -1.761, 6.911], [-6.740, 0.422, 2.438]], "species": ["As", "As", "As", "As", "Ho", "Ho", "Nd", "Pa"], "fractional_positions": [[0.500, 0.752, 0.255], [0.500, 0.248, 0.745], [0.000, 0.245, 0.260], [0.000, 0.755, 0.740], [0.000, 0.000, 0.000], [0.500, 0.000, 0.500], [0.500, 0.500, 0.000], [0.000, 0.500, 0.500]], "n_ef_per_ev_fu": 5.588, "energy_ev_per_atom": -6.652, "delta_e_f_ev_per_atom": -1.400}

***

(11)
{"formula": "BaSb2TeCl", "functional": "PBE", "state": "optimized geometry", "cell": [[-5.154, -3.501, 2.090], [0.484, -3.870, -5.289], [3.946, -3.894, 3.209]], "species": ["Cl", "Te", "Sb", "Sb", "Ba"], "fractional_positions": [[0.500, 0.500, 0.500], [0.000, 0.000, 0.500], [0.000, 0.500, 0.000], [0.500, 0.000, 0.000], [0.000, 0.000, 0.000]], "n_ef_per_ev_fu": 8.778, "raw_formation_energy_ev_per_atom": 0.682, "energy_ev_per_atom": -2.349, "de_polymorph_ev_per_atom": 0.843}

***

(12)
{"formula": "Cu2Te", "functional": "PBE", "state": "optimized geometry", "cell": [[-1.131, 12.004, 10.665], [1.344, 8.297, 13.729], [2.298, -9.209, -13.001]], "species": ["Te", "Te", "Te", "Te", "Cu", "Cu", "Cu", "Cu", "Cu", "Cu", "Cu", "Cu"], "fractional_positions": [[0.931, 0.931, 0.000], [0.819, 0.319, 0.500], [0.681, 0.181, 0.500], [0.069, 0.069, 0.000], [0.500, 0.000, 0.500], [0.302, 0.802, 0.500], [0.448, 0.448, 0.000], [0.250, 0.250, 0.000], [0.552, 0.552, 0.000], [0.198, 0.698, 0.500], [0.000, 0.500, 0.500], [0.750, 0.750, 0.000]], "n_ef_per_ev_fu": 0.839, "raw_formation_energy_ev_per_atom": 0.071, "energy_ev_per_atom": -3.707}